La2CeTm4: relaxed, PBE.

Calculated values
- SG: Cm (8)
- Energy of formation: 5 kJ per mole of atoms
- Size of the total moment: 0.94 μB/f.u.

```
14
Lattice="6.2041 0.0000 0.0000 0.0000 3.5776 0.0000 -2.0536 0.0000 20.2114" Properties=species:S:1:pos:R:3 pbc="T T T"
La 0.0000 0.0000 0.0000
La -0.0198 0.0000 5.8761
La 3.1021 1.7888 0.0000
La 3.0823 1.7888 5.8761
Ce -0.0372 0.0000 11.6339
Ce 3.0649 1.7888 11.6339
Tm -0.0195 0.0000 17.2040
Tm 1.0267 1.7888 8.7977
Tm 2.0455 0.0000 2.9815
Tm 1.0233 1.7888 14.4762
Tm 3.0825 1.7888 17.2040
Tm 4.1288 0.0000 8.7977
Tm 5.1475 1.7888 2.9815
Tm 4.1254 0.0000 14.4762
```

Nd7Si2Sn2: relaxed, PBE.

Calculated values
- SG: Cmmm (65)
- Size of the total moment: 0.00 μB/f.u.
- Calculated total energy: -56.53 eV per cell

```
11
Lattice="4.2836 -5.6989 0.0000 4.2836 5.6989 0.0000 0.0000 0.0000 7.0966" Properties=species:S:1:pos:R:3 pbc="T T T"
Nd 0.0000 0.0000 0.0000
Nd 2.1418 2.8495 1.9336
Nd 2.1418 2.8495 5.1630
Nd 2.1418 -2.8495 1.9336
Nd 2.1418 -2.8495 5.1630
Nd 4.2836 0.0000 1.7220
Nd 4.2836 0.0000 5.3746
Si 4.2836 2.5797 0.0000
Si 4.2836 -2.5797 0.0000
Sn 1.5050 0.0000 3.5483
Sn 7.0622 0.0000 3.5483
```

La2Ge5Au3: relaxed, PBE.

Calculated values
- SG: Ibam (72)
- Energy of formation: -51 kJ per mole of atoms
- Size of the total moment: 0.00 μB/f.u.

```
20
Lattice="-5.1440 6.4679 3.2631 5.1440 -6.4679 3.2631 5.1440 6.4679 -3.2631" Properties=species:S:1:pos:R:3 pbc="T T T"
La 2.4957 1.5690 0.0000
La 2.4957 -1.5690 3.2631
La 2.6484 8.0369 0.0000
La 2.6484 4.8989 3.2631
Ge 5.1440 -3.1094 1.6315
Ge 6.5308 1.5487 0.0000
Ge 0.0000 0.0000 1.6315
Ge 1.3867 4.9192 0.0000
Ge 5.1440 3.1094 1.6315
Ge 0.0000 3.3585 1.6315
Ge 3.7573 1.5487 3.2631
Ge 0.0000 0.0000 4.8946
Ge -1.3867 4.9192 3.2631
Ge 0.0000 9.5773 1.6315
Au 3.8928 -4.7591 3.2631
Au 5.1440 0.0000 1.6315
Au 3.8928 4.7591 0.0000
Au 1.2512 1.7088 3.2631
Au 0.0000 6.4679 1.6315
Au 1.2512 11.2270 0.0000
```

KSr2InPt: relaxed, PBE.

Calculated values
- SG: P4/mmm (123)
- Energy of formation: -38 kJ per mole of atoms
- Size of the total moment: 0.00 μB/f.u.

```
5
Lattice="6.0193 0.0000 0.0000 0.0000 6.0193 0.0000 0.0000 0.0000 5.3276" Properties=species:S:1:pos:R:3 pbc="T T T"
K 0.0000 0.0000 0.0000
Sr 0.0000 3.0097 2.6638
Sr 3.0097 0.0000 2.6638
In 3.0097 3.0097 0.0000
Pt 3.0097 3.0097 2.6638
```

ErBe4Re: relaxed, PBE.

Calculated values
- SG: F-43m (216)
- Energy of formation: -2 kJ per mole of atoms
- Size of the total moment: 1.23 μB/f.u.

```
6
Lattice="0.0000 3.3097 3.3097 3.3097 0.0000 3.3097 3.3097 3.3097 0.0000" Properties=species:S:1:pos:R:3 pbc="T T T"
Er 0.0000 0.0000 0.0000
Be 4.1163 2.5030 2.5030
Be 2.5030 4.1163 2.5030
Be 2.5030 2.5030 4.1163
Be 4.1163 4.1163 4.1163
Re 1.6548 1.6548 1.6548
```

BaMn2Pb: relaxed, PBE.

Calculated values
- SG: C2/m (12)
- Energy of formation: 35 kJ per mole of atoms
- Size of the total moment: 7.30 μB/f.u.

```
8
Lattice="8.2348 0.0000 0.0000 0.0000 4.7458 0.0000 -2.7338 0.0000 5.8238" Properties=species:S:1:pos:R:3 pbc="T T T"
Ba 0.0000 0.0000 0.0000
Ba 4.1174 2.3729 0.0000
Mn 0.0077 0.0000 3.4067
Mn 1.3759 2.3729 2.4171
Mn 4.1251 2.3729 3.4067
Mn 5.4933 0.0000 2.4171
Pb -1.3669 2.3729 2.9119
Pb 2.7505 0.0000 2.9119
```

Sr2NbSi2: relaxed, PBE.

Calculated values
- SG: I4/mmm (139)
- E above lowest polymorph: 517.1 meV per atom
- Size of the total moment: 0.00 μB/f.u.

```
10
Lattice="3.4663 0.0000 0.0000 0.0000 3.4663 0.0000 0.0000 0.0000 21.5049" Properties=species:S:1:pos:R:3 pbc="T T T"
Sr 0.0000 0.0000 2.5225
Sr 0.0000 0.0000 18.9823
Sr 1.7331 1.7331 8.2299
Sr 1.7331 1.7331 13.2750
Nb 0.0000 0.0000 10.7524
Nb 1.7331 1.7331 0.0000
Si 0.0000 1.7331 5.3762
Si 0.0000 1.7331 16.1286
Si 1.7331 0.0000 5.3762
Si 1.7331 0.0000 16.1286
```

HfV2SbPd: relaxed, PBE.

Calculated values
- SG: P4/mmm (123)
- Size of the total moment: 4.10 μB/f.u.
- Calculated total energy: -31.44 eV per cell

```
5
Lattice="4.8245 0.0000 0.0000 0.0000 4.8245 0.0000 0.0000 0.0000 4.8838" Properties=species:S:1:pos:R:3 pbc="T T T"
Hf 0.0000 0.0000 0.0000
V 0.0000 2.4123 0.0000
V 2.4123 0.0000 0.0000
Sb 2.4123 2.4123 2.4419
Pd 0.0000 0.0000 2.4419
```

Nd3Nb5N12: relaxed, PBE.

Calculated values
- SG: Ia-3d (230)
- Size of the total moment: 0.89 μB/f.u.
- Calculated total energy: -729.31 eV per cell

```
80
Lattice="-6.5968 6.5968 6.5968 6.5968 -6.5968 6.5968 6.5968 6.5968 -6.5968" Properties=species:S:1:pos:R:3 pbc="T T T"
Nd 3.2984 1.6492 0.0000
Nd 6.5968 3.2984 -1.6492
Nd 1.6492 0.0000 3.2984
Nd 8.2460 0.0000 3.2984
Nd 0.0000 3.2984 1.6492
Nd 3.2984 -1.6492 6.5968
Nd 3.2984 8.2460 0.0000
Nd 6.5968 3.2984 4.9476
Nd -1.6492 6.5968 3.2984
Nd 4.9476 6.5968 3.2984
Nd 0.0000 3.2984 8.2460
Nd 3.2984 4.9476 6.5968
Nb 0.0000 0.0000 0.0000
Nb 3.2984 3.2984 -3.2984
Nb 3.2984 -3.2984 3.2984
Nb 6.5968 0.0000 0.0000
Nb 9.8951 1.6492 0.0000
Nb 6.5968 -3.2984 4.9476
Nb 4.9476 6.5968 -3.2984
Nb 4.9476 0.0000 3.2984
Nb 3.2984 4.9476 0.0000
Nb 6.5968 3.2984 1.6492
Nb -3.2984 3.2984 3.2984
Nb 0.0000 6.5968 0.0000
Nb 0.0000 0.0000 6.5968
Nb 3.2984 3.2984 3.2984
Nb 0.0000 3.2984 4.9476
Nb 3.2984 1.6492 6.5968
Nb 1.6492 6.5968 3.2984
Nb 1.6492 0.0000 9.8951
Nb 0.0000 9.8951 1.6492
Nb -3.2984 4.9476 6.5968
N 1.9595 -0.4047 0.6907
N 7.9357 3.9891 -3.7031
N 8.5562 0.4047 0.6907
N 7.9357 -2.6077 3.7031
N 6.1920 -0.6907 1.9595
N 10.2999 -1.3389 2.6077
N 0.6907 1.9595 -0.4047
N 9.2045 2.8936 -1.3389
N 3.9891 3.7031 -1.3389
N 5.9061 1.9595 0.4047
N -0.4047 0.6907 1.9595
N 3.7031 -1.3389 3.9891
N 6.1920 5.9061 -1.9595
N 3.7031 1.3389 2.6077
N 3.9891 -3.7031 7.9357
N 5.9061 -1.9595 6.1920
N 2.6077 3.7031 1.3389
N 7.2875 4.6373 0.4047
N 3.7031 7.9357 -2.6077
N 6.1920 0.6907 4.6373
N 1.9595 6.1920 -0.6907
N 7.9357 2.6077 2.8936
N 1.3389 2.6077 3.7031
N 1.9595 0.4047 5.9061
N 4.6373 6.1920 0.6907
N 5.2579 3.9891 2.8936
N -1.3389 3.9891 3.7031
N 4.6373 0.4047 7.2875
N 0.4047 5.9061 1.9595
N 2.8936 -1.3389 9.2045
N -0.6907 1.9595 6.1920
N 3.9891 2.8936 5.2579
N 0.6907 8.5562 0.4047
N 2.6077 10.2999 -1.3389
N 2.8936 5.2579 3.9891
N 0.4047 0.6907 8.5562
N 2.8936 7.9357 2.6077
N 7.0015 5.9061 4.6373
N 0.6907 4.6373 6.1920
N 2.6077 2.8936 7.9357
N -2.6077 3.7031 7.9357
N 5.9061 4.6373 7.0015
N -3.7031 7.9357 3.9891
N 0.4047 7.2875 4.6373
N -1.3389 9.2045 2.8936
N -1.9595 6.1920 5.9061
N -1.3389 2.6077 10.2999
N 4.6373 7.0015 5.9061
```

Ta2BeOs: relaxed, PBE.

Calculated values
- SG: Cm (8)
- Energy of formation: -7 kJ per mole of atoms
- Size of the total moment: 0.00 μB/f.u.

```
8
Lattice="10.0178 0.0000 0.0000 0.0000 3.0749 0.0000 -1.9675 0.0000 3.9872" Properties=species:S:1:pos:R:3 pbc="T T T"
Ta 0.0000 0.0000 0.0000
Ta 0.9323 0.0000 2.9445
Ta 5.0089 1.5374 0.0000
Ta 5.9412 1.5374 2.9445
Be 2.2231 1.5374 1.1038
Be 7.2319 0.0000 1.1038
Os 3.9788 0.0000 1.9700
Os 8.9876 1.5374 1.9700
```

Mn2V2Si: relaxed, PBE.

Calculated values
- SG: C2/c (15)
- E above lowest polymorph: 0.0 meV per atom
- Size of the total moment: 0.00 μB/f.u.

```
10
Lattice="5.9212 -1.9868 0.0000 5.9212 1.9868 0.0000 -1.1111 0.0000 5.1064" Properties=species:S:1:pos:R:3 pbc="T T T"
Mn 1.0318 0.0249 0.8374
Mn 0.4763 -0.0249 3.3906
Mn 10.2551 0.0249 1.7157
Mn 9.6996 -0.0249 4.2689
V 3.1137 0.0012 2.2269
V 2.5582 -0.0012 4.7801
V 8.1732 0.0012 0.3262
V 7.6177 -0.0012 2.8794
Si 5.6435 0.0311 1.2766
Si 5.0879 -0.0311 3.8298
```

CuTe2Pb: relaxed, PBE.

Calculated values
- SG: P4/mmm (123)
- Size of the total moment: 0.00 μB/f.u.
- Calculated total energy: -13.07 eV per cell

```
4
Lattice="5.1730 0.0000 0.0000 0.0000 5.1730 0.0000 0.0000 0.0000 4.0241" Properties=species:S:1:pos:R:3 pbc="T T T"
Cu 0.0000 0.0000 0.0000
Te 0.0000 2.5865 2.0121
Te 2.5865 0.0000 2.0121
Pb 2.5865 2.5865 0.0000
```

- The highest size of the total moment belongs to which entry?
  BaMn2Pb

- Which formula does entry 2 have?
  Nd7Si2Sn2

- The highest size of the total moment belongs to which entry?
  BaMn2Pb

- The highest size of the total moment belongs to which entry?
  BaMn2Pb